The following is a DFT calculation (PBE with a Hubbard U) of a geometry-optimized CsCaWO4 structure.

Structure (extended XYZ):
```
14
Lattice="6.295 0.000 0.000 0.000 6.331 0.000 -0.395 0.000 8.736" Properties=species:S:1:pos:R:3 pbc="T T T"
Cs 1.050 1.583 4.024
Cs 4.849 4.748 4.712
Ca 0.382 1.583 8.560
Ca 5.517 4.748 0.176
W 1.961 4.748 2.067
W 3.939 1.583 6.669
O 0.856 3.381 1.236
O 0.856 6.115 1.236
O 1.661 4.748 3.875
O 2.162 1.583 7.172
O 3.737 4.748 1.564
O 4.238 1.583 4.861
O 5.044 0.216 7.499
O 5.044 2.950 7.499
```

Output
Mass density: 4.01 g/cm³
Crystal system: monoclinic
Spin magnetization: 2.00 μB/cell
Symmetry: P2_1/m (11)

=====

The following is a DFT calculation (PBE with a Hubbard U) of a geometry-optimized LiGaCoF6 structure.

Structure (extended XYZ):
```
18
Lattice="4.698 0.000 0.000 0.000 4.698 0.000 0.000 0.000 9.222" Properties=species:S:1:pos:R:3 pbc="T T T"
Li 0.000 0.000 0.000
Li 2.349 2.349 4.611
Ga 0.000 0.000 3.090
Ga 2.349 2.349 7.701
Co 0.000 0.000 6.181
Co 2.349 2.349 1.570
F 0.903 0.903 1.640
F 0.900 0.900 4.540
F 0.983 0.983 7.708
F 1.366 3.331 3.097
F 1.446 3.252 6.251
F 1.449 3.249 9.151
F 3.252 1.446 6.251
F 3.249 1.449 9.151
F 3.331 1.366 3.097
F 3.715 3.715 7.708
F 3.795 3.795 1.640
F 3.798 3.798 4.540
```

Output
Mass density: 4.07 g/cm³
Crystal system: tetragonal
Spin magnetization: 6.00 μB/cell
Symmetry: P4_2nm (102)

=====

Result set for DFT total energy: -6.476, -4.923 eV per atom, one per record in the order listed.